An optimized crystal structure of PuZrPd2. Source: Alexandria, functional GGA-PBE.

Structure (CIF):
```
data_PuZrPd2
_symmetry_space_group_name_H-M 'P 1'
_symmetry_Int_Tables_number 1
_symmetry_space_group_name_Hall 'P 1'
_cell_length_a 3.0442
_cell_length_b 5.1381
_cell_length_c 5.1381
_cell_angle_alpha 90.00
_cell_angle_beta 90.00
_cell_angle_gamma 90.00
loop_
_atom_site_label
_atom_site_fract_x
_atom_site_fract_y
_atom_site_fract_z
Pd1 0.0000 0.0000 0.5000
Pu1 0.5000 0.0000 0.0000
Pd2 0.0000 0.5000 0.0000
Zr1 0.5000 0.5000 0.5000
```

**N(E_F)**: 11.32 states/eV/cell
**Magnetization**: 5.376 μB per formula unit
**Formation energy**: -0.4713 eV/atom


An optimized crystal structure of PuZrPd2. Source: Alexandria, functional GGA-PBE.

Structure (CIF):
```
data_PuZrPd2
_symmetry_space_group_name_H-M 'P 1'
_symmetry_Int_Tables_number 1
_symmetry_space_group_name_Hall 'P 1'
_cell_length_a 3.3516
_cell_length_b 3.3516
_cell_length_c 7.3155
_cell_angle_alpha 90.00
_cell_angle_beta 90.00
_cell_angle_gamma 90.00
loop_
_atom_site_label
_atom_site_fract_x
_atom_site_fract_y
_atom_site_fract_z
Pu1 0.5000 0.5000 0.5000
Pd1 0.0000 0.0000 0.7881
Zr1 0.5000 0.5000 0.0000
Pd2 0.0000 0.0000 0.2119
```

**N(E_F)**: 10.48 states/eV/cell
**Magnetization**: 6.008 μB per formula unit
**Formation energy**: -0.5086 eV/atom


An optimized crystal structure of PuZr2Pd3. Source: Alexandria, functional GGA-PBE.

Structure (CIF):
```
data_PuZr2Pd3
_symmetry_space_group_name_H-M 'P 1'
_symmetry_Int_Tables_number 1
_symmetry_space_group_name_Hall 'P 1'
_cell_length_a 3.4477
_cell_length_b 3.4477
_cell_length_c 10.1173
_cell_angle_alpha 90.00
_cell_angle_beta 90.00
_cell_angle_gamma 90.00
loop_
_atom_site_label
_atom_site_fract_x
_atom_site_fract_y
_atom_site_fract_z
Pd1 0.0000 0.0000 0.3005
Pd2 0.0000 0.0000 0.6995
Pu1 0.5000 0.5000 0.5000
Zr1 0.5000 0.5000 0.1605
Pd3 0.0000 0.0000 0.0000
Zr2 0.5000 0.5000 0.8395
```

**N(E_F)**: 13.47 states/eV/cell
**Magnetization**: 5.992 μB per formula unit
**Formation energy**: -0.5253 eV/atom